Record 1
NdHfO3: optimized geometry, PBE-GGA.

Summary:
SG = R-3c (167)
DFT total energy = -88.08 eV per cell
Mass density = 8.1 g cm⁻³
Total magnetic moment = 1.8 μB/cell

Lattice parameters (Å, degrees): 5.8510 5.8510 5.8510 63.31 63.31 63.31
With the nearest neighbours (Å) after each atom.
Fractional coordinates of all 10 atoms:
Hf (0.2500, 0.2500, 0.2500)  3 O 1.97
Hf (0.7500, 0.7500, 0.7500)  3 O 1.97
Nd (0.0000, 0.0000, 0.0000)  6 O 2.39
Nd (0.5000, 0.5000, 0.5000)  6 O 2.39
O (0.7500, 0.4296, 0.0704)  1 Hf 1.97
O (0.5704, 0.9296, 0.2500)  1 Hf 1.97
O (0.0704, 0.7500, 0.4296)  1 Hf 1.97
O (0.9296, 0.2500, 0.5704)  1 Hf 1.97
O (0.4296, 0.0704, 0.7500)  1 Hf 1.97
O (0.2500, 0.5704, 0.9296)  1 Hf 1.97

=====

Record 2
PrTlCdSe3: optimized geometry, PBE-GGA.

Summary:
Excess energy over the best structure of this formula in the dataset = 0.0000 eV/atom
SG = Cmcm (63)
Mass density = 6.3 g cm⁻³
Total magnetic moment = 0.0 μB/cell

Lattice parameters (Å, degrees): 7.6587 7.6587 11.4740 90.00 90.00 146.94
With the nearest neighbours (Å) after each atom.
Fractional coordinates of all 12 atoms:
Cd (0.0368, 0.9632, 0.2500)  4 Se 2.63-2.73
Cd (0.9632, 0.0368, 0.7500)  4 Se 2.63-2.73
Pr (0.5000, 0.5000, 0.0000)  6 Se 3.01-3.07
Pr (0.5000, 0.5000, 0.5000)  6 Se 3.01-3.07
Se (0.1343, 0.8657, 0.0574)  1 Cd 2.63
Se (0.4249, 0.5751, 0.2500)  2 Cd 2.73
Se (0.1343, 0.8657, 0.4426)  1 Cd 2.63
Se (0.8657, 0.1343, 0.5574)  1 Cd 2.63
Se (0.5751, 0.4249, 0.7500)  2 Cd 2.73
Se (0.8657, 0.1343, 0.9426)  1 Cd 2.63
Tl (0.7480, 0.2520, 0.2500)  6 Se 3.39-3.52, 2 Cd 3.79
Tl (0.2520, 0.7480, 0.7500)  6 Se 3.39-3.52, 2 Cd 3.79

=====

Record 3
Li6CdPd5: optimized geometry, PBE-GGA.

Summary:
SG = C2/m (12)
DFT total energy = -43.39 eV per cell
Mass density = 6.9 g cm⁻³

Lattice parameters (Å, degrees): 6.7582 6.7582 6.0302 90.07 90.07 143.19
With the nearest neighbours (Å) after each atom.
Fractional coordinates of all 12 atoms:
Cd (0.0000, 0.0000, 0.0000)  8 Li 2.67-2.72, 4 Pd 2.98
Li (0.8253, 0.1736, 0.2585)  7 Pd 2.53-2.67, 1 Cd 2.72
Li (0.1736, 0.8253, 0.2585)  7 Pd 2.53-2.67, 1 Cd 2.72
Li (0.5003, 0.5003, 0.2685)  6 Pd 2.53-2.64, 2 Cd 2.67-2.68, 1 Li 2.79
Li (0.4997, 0.4997, 0.7315)  6 Pd 2.53-2.64, 2 Cd 2.67-2.68, 1 Li 2.79
Li (0.8264, 0.1747, 0.7415)  7 Pd 2.53-2.67, 1 Cd 2.72
Li (0.1747, 0.8264, 0.7415)  7 Pd 2.53-2.67, 1 Cd 2.72
Pd (0.6623, 0.3377, 0.0000)  8 Li 2.61-2.65
Pd (0.3377, 0.6623, 0.0000)  8 Li 2.61-2.65
Pd (0.0000, 0.0000, 0.5000)  8 Li 2.54-2.67
Pd (0.6641, 0.3359, 0.5000)  8 Li 2.53-2.59
Pd (0.3359, 0.6641, 0.5000)  8 Li 2.53-2.59

=====

Record 4
CsBeMo: optimized geometry, PBE-GGA.

Summary:
SG = F-43m (216)
DFT total energy = -8.73 eV per cell
Mass density = 4.4 g cm⁻³
Total magnetic moment = 3.8 μB/cell

Lattice parameters (Å, degrees): 5.0392 5.0392 5.0392 60.00 60.00 60.00
With the nearest neighbours (Å) after each atom.
Fractional coordinates of all 3 atoms:
Be (0.0000, 0.0000, 0.0000)  4 Mo 3.09, 4 Cs 3.09
Cs (0.2500, 0.2500, 0.2500)  4 Be 3.09
Mo (0.7500, 0.7500, 0.7500)  4 Be 3.09

=====

Record 5
NaThNb: optimized geometry, PBE-GGA.

Summary:
Excess energy over the best structure of this formula in the dataset = 0.2696 eV/atom
SG = F-43m (216)
Mass density = 6.6 g cm⁻³
Total magnetic moment = 2.1 μB/cell

Lattice parameters (Å, degrees): 4.9886 4.9886 4.9886 60.00 60.00 60.00
With the nearest neighbours (Å) after each atom.
Fractional coordinates of all 3 atoms:
Na (0.2500, 0.2500, 0.2500)  4 Th 3.05
Nb (0.7500, 0.7500, 0.7500)  4 Th 3.05
Th (0.0000, 0.0000, 0.0000)  4 Na 3.05, 4 Nb 3.05

=====

Record 6
NdHICl: optimized geometry, PBE-GGA.

Summary:
Excess energy over the best structure of this formula in the dataset = 0.0000 eV/atom
SG = P6_3mc (186)
Mass density = 4.8 g cm⁻³
Total magnetic moment = 0.0 μB/cell

Lattice parameters (Å, degrees): 4.0311 4.0311 14.9803 90.00 90.00 120.00
With the nearest neighbours (Å) after each atom.
Fractional coordinates of all 8 atoms:
Cl (0.6667, 0.3333, 0.3739)  3 Nd 2.89, 3 H 2.93
Cl (0.3333, 0.6667, 0.8739)  3 Nd 2.89, 3 H 2.93
H (0.3333, 0.6667, 0.2549)  3 Nd 2.33
H (0.6667, 0.3333, 0.7549)  3 Nd 2.33
I (0.6667, 0.3333, 0.1118)  3 H 3.16, 3 Nd 3.21
I (0.3333, 0.6667, 0.6118)  3 H 3.16, 3 Nd 3.21
Nd (0.0000, 0.0000, 0.2593)  3 H 2.33
Nd (0.0000, 0.0000, 0.7593)  3 H 2.33

=====

Record 7
Pu2B: optimized geometry, PBE-GGA.

Summary:
SG = Fd-3m (227)
DFT total energy = -60.65 eV per cell
Mass density = 5.0 g cm⁻³
Total magnetic moment = 23.1 μB/cell

Lattice parameters (Å, degrees): 7.7497 7.7497 7.7497 60.00 60.00 60.00
With the nearest neighbours (Å) after each atom.
Fractional coordinates of all 6 atoms:
B (0.2500, 0.2500, 0.2500)  4 Pu 2.37
B (0.5000, 0.5000, 0.5000)  4 Pu 2.37
Pu (0.3750, 0.3750, 0.3750)  2 B 2.37
Pu (0.3750, 0.8750, 0.3750)  2 B 2.37
Pu (0.8750, 0.3750, 0.3750)  2 B 2.37
Pu (0.3750, 0.3750, 0.8750)  2 B 2.37

=====

Record 8
Pr3InAgHg2Pd2: optimized geometry, PBE-GGA.

Summary:
SG = Amm2 (38)
DFT total energy = -36.46 eV per cell
Mass density = 9.6 g cm⁻³
Total magnetic moment = 0.0 μB/cell

Lattice parameters (Å, degrees): 3.9966 7.9394 7.9394 120.44 90.00 90.00
With the nearest neighbours (Å) after each atom.
Fractional coordinates of all 9 atoms:
Ag (0.5000, 0.0059, 0.0059)  2 In 2.83, 4 Hg 2.92
Hg (0.0000, 0.7360, 0.0034)  2 Ag 2.92, 2 Pd 2.98, 2 Pr 3.24
Hg (0.0000, 0.0034, 0.7360)  2 Ag 2.92, 2 Pd 2.98, 2 Pr 3.24
In (0.0000, 0.2608, 0.2608)  2 Ag 2.83, 2 Pd 2.90
Pd (0.0000, 0.6570, 0.3324)  1 In 2.90, 2 Hg 2.98, 6 Pr 3.11-3.15
Pd (0.0000, 0.3324, 0.6570)  1 In 2.90, 2 Hg 2.98, 6 Pr 3.11-3.15
Pr (0.5000, 0.9962, 0.4115)  4 Pd 3.11-3.15, 4 Hg 3.24-3.46, 1 Ag 3.26
Pr (0.5000, 0.5968, 0.5968)  4 Pd 3.11, 1 Ag 3.23, 2 In 3.32, 4 Hg 3.47
Pr (0.5000, 0.4115, 0.9962)  4 Pd 3.11-3.15, 4 Hg 3.24-3.46, 1 Ag 3.26

=====

Record 9
BaNbPb: optimized geometry, PBE-GGA.

Summary:
SG = F-43m (216)
DFT total energy = -13.53 eV per cell
Mass density = 7.1 g cm⁻³
Total magnetic moment = 3.0 μB/cell

Lattice parameters (Å, degrees): 5.2521 5.2521 5.2521 60.00 60.00 60.00
With the nearest neighbours (Å) after each atom.
Fractional coordinates of all 3 atoms:
Ba (0.2500, 0.2500, 0.2500)  4 Nb 3.22
Nb (0.0000, 0.0000, 0.0000)  4 Pb 3.22, 4 Ba 3.22
Pb (0.7500, 0.7500, 0.7500)  4 Nb 3.22

=====

Record 10
ZnSiPb2: optimized geometry, PBE-GGA.

Summary:
SG = F-43m (216)
DFT total energy = -12.33 eV per cell
Mass density = 8.5 g cm⁻³

Lattice parameters (Å, degrees): 5.1908 5.1908 5.1908 60.00 60.00 60.00
With the nearest neighbours (Å) after each atom.
Fractional coordinates of all 4 atoms:
Pb (0.0000, 0.0000, 0.0000)  4 Pb 3.18, 4 Zn 3.18
Pb (0.7500, 0.7500, 0.7500)  4 Si 3.18, 4 Pb 3.18
Si (0.5000, 0.5000, 0.5000)  4 Pb 3.18, 4 Zn 3.18
Zn (0.2500, 0.2500, 0.2500)  4 Si 3.18, 4 Pb 3.18

=====

Record 11
Co24Ni5: optimized geometry, PBE-GGA.

Summary:
Formation energy = 0.047 eV/atom
SG = I-43m (217)
Mass density = 9.0 g cm⁻³
Total magnetic moment = 41.6 μB/cell

Lattice parameters (Å, degrees): 7.4225 7.4225 7.4225 109.47 109.47 109.47
With the nearest neighbours (Å) after each atom.
Fractional coordinates of all 29 atoms:
Co (0.3744, 0.1915, 0.0000)  6 Co 2.22-2.42
Co (0.1915, 0.3744, 0.0000)  6 Co 2.22-2.42
Co (0.6819, 0.3992, 0.0000)  7 Co 2.29-2.54, 1 Ni 2.46
Co (0.3992, 0.6819, 0.0000)  7 Co 2.29-2.54, 1 Ni 2.46
Co (0.8085, 0.8085, 0.1829)  6 Co 2.22-2.42
Co (0.3744, 0.0000, 0.1915)  6 Co 2.22-2.42
Co (0.0000, 0.3744, 0.1915)  6 Co 2.22-2.42
Co (0.6008, 0.6008, 0.2827)  7 Co 2.29-2.54, 1 Ni 2.46
Co (0.7173, 0.3181, 0.3181)  7 Co 2.29-2.54, 1 Ni 2.46
Co (0.3181, 0.7173, 0.3181)  7 Co 2.29-2.54, 1 Ni 2.46
Co (0.1915, 0.0000, 0.3744)  6 Co 2.22-2.42
Co (0.0000, 0.1915, 0.3744)  6 Co 2.22-2.42
Co (0.6819, 0.0000, 0.3992)  7 Co 2.29-2.54, 1 Ni 2.46
Co (0.0000, 0.6819, 0.3992)  7 Co 2.29-2.54, 1 Ni 2.46
Co (0.6008, 0.2827, 0.6008)  7 Co 2.29-2.54, 1 Ni 2.46
Co (0.2827, 0.6008, 0.6008)  7 Co 2.29-2.54, 1 Ni 2.46
Co (0.8171, 0.6256, 0.6256)  6 Co 2.22-2.42
Co (0.6256, 0.8171, 0.6256)  6 Co 2.22-2.42
Co (0.3992, 0.0000, 0.6819)  7 Co 2.29-2.54, 1 Ni 2.46
Co (0.0000, 0.3992, 0.6819)  7 Co 2.29-2.54, 1 Ni 2.46
Co (0.3181, 0.3181, 0.7173)  7 Co 2.29-2.54, 1 Ni 2.46
Co (0.8085, 0.1829, 0.8085)  6 Co 2.22-2.42
Co (0.1829, 0.8085, 0.8085)  6 Co 2.22-2.42
Co (0.6256, 0.6256, 0.8171)  6 Co 2.22-2.42
Ni (0.0000, 0.0000, 0.0000)  4 Ni 2.62, 12 Co 2.67
Ni (0.6468, 0.0000, 0.0000)  9 Co 2.46-2.58, 1 Ni 2.62
Ni (0.0000, 0.6468, 0.0000)  9 Co 2.46-2.58, 1 Ni 2.62
Ni (0.3532, 0.3532, 0.3532)  9 Co 2.46-2.58, 1 Ni 2.62
Ni (0.0000, 0.0000, 0.6468)  9 Co 2.46-2.58, 1 Ni 2.62

=====

Record 12
Sr2CdP: optimized geometry, PBE-GGA.

Summary:
SG = C2/m (12)
DFT total energy = -24.60 eV per cell
Mass density = 3.9 g cm⁻³

Lattice parameters (Å, degrees): 8.3458 8.3458 7.7292 98.96 98.96 31.08
With the nearest neighbours (Å) after each atom.
Fractional coordinates of all 8 atoms:
Cd (0.0000, 0.0000, 0.0000)  6 Sr 3.54-3.55
Cd (0.5000, 0.5000, 0.5000)  6 Sr 3.52-3.53
P (0.7479, 0.7479, 0.2499)  6 Sr 3.00-3.01
P (0.2521, 0.2521, 0.7501)  6 Sr 3.00-3.01
Sr (0.3466, 0.3466, 0.1177)  3 P 3.00-3.01
Sr (0.1518, 0.1518, 0.3863)  3 P 3.00-3.01
Sr (0.8482, 0.8482, 0.6137)  3 P 3.00-3.01
Sr (0.6534, 0.6534, 0.8823)  3 P 3.00-3.01